Entry 1:
Here is a relaxed ScCuPd4 crystal from Alexandria via LeMat-Bulk. Energies are from PBE.

abc: 4.0629 11.3120 4.0366
angles: 90.00 90.00 90.00
Space group Cmmm (No. 65)
Inequivalent atoms, fractional coordinates:
Sc: 0.0000 0.0000 0.0000 x2
Cu: 0.0000 0.5000 0.5000 x2
Pd: 0.0000 0.1623 0.5000 x4
Pd: 0.0000 0.3405 0.0000 x4

- ΔE_f (meV per atom) = -542
- energy above the most stable polymorph in this dataset (eV/atom) = 0.0000


Entry 2:
Here is a relaxed Ta2NbMoH crystal from Alexandria via LeMat-Bulk. Energies are from PBE.

abc: 4.5511 4.5511 3.5266
angles: 90.00 90.00 90.00
Space group P4/mmm (No. 123)
Inequivalent atoms, fractional coordinates:
Ta: 0.0000 0.5000 0.0000 x2
Nb: 0.0000 0.0000 0.5000 x1
Mo: 0.5000 0.5000 0.5000 x1
H: 0.0000 0.0000 0.0000 x1

- energy above the most stable polymorph in this dataset (eV/atom) = 0.0111


Entry 3:
Here is a relaxed Co2CuTe crystal from Alexandria via LeMat-Bulk. Energies are from PBE.

abc: 3.8045 3.8045 17.4413
angles: 90.00 90.00 90.00
Space group I-42d (No. 122)
Inequivalent atoms, fractional coordinates:
Co: 0.1885 0.2500 0.1250 x8
Cu: 0.0000 0.0000 0.0000 x4
Te: 0.0000 0.0000 0.5000 x4

- formation energy (no corrections) (eV per atom) = 0.47


Entry 4:
Here is a relaxed NiHg4Rh crystal from Alexandria via LeMat-Bulk. Energies are from PBE.

abc: 7.9086 7.9086 7.9086
angles: 90.00 90.00 90.00
Space group F-43m (No. 216)
Inequivalent atoms, fractional coordinates:
Ni: 0.0000 0.0000 0.0000 x4
Hg: 0.1250 0.1250 0.3750 x16
Rh: 0.2500 0.2500 0.7500 x4

- ΔE_f (meV per atom) = 718


Entry 5:
Here is a relaxed MgAsRu2 crystal from Alexandria via LeMat-Bulk. Energies are from PBE.

abc: 2.9114 3.8919 5.3217
angles: 90.00 90.00 90.00
Space group Pmm2 (No. 25)
Inequivalent atoms, fractional coordinates:
Mg: 0.0000 0.0000 0.0000 x1
As: 0.5000 0.5000 0.7139 x1
Ru: 0.0000 0.0000 0.4954 x1
Ru: 0.5000 0.5000 0.2440 x1

- ΔE_f (meV per atom) = 11


Entry 6:
Here is a relaxed FeTe2Ir crystal from Alexandria via LeMat-Bulk. Energies are from PBE.

abc: 6.6925 6.6925 6.6925
angles: 90.00 90.00 90.00
Space group Fm-3m (No. 225)
Inequivalent atoms, fractional coordinates:
Fe: 0.0000 0.0000 0.0000 x4
Te: 0.2500 0.2500 0.2500 x8
Ir: 0.0000 0.0000 0.5000 x4

- energy above the most stable polymorph in this dataset (eV/atom) = 0.4366
- formation energy (no corrections) (eV per atom) = 0.44


Entry 7:
Here is a relaxed PdSe2I crystal from Alexandria via LeMat-Bulk. Energies are from PBE.

abc: 4.7347 3.8924 5.7893
angles: 90.00 105.38 90.00
Space group P2/m (No. 10)
Inequivalent atoms, fractional coordinates:
Pd: 0.0000 0.0000 0.0000 x1
Se: 0.3509 0.5000 0.1381 x2
I: 0.0000 0.0000 0.5000 x1

- energy above the most stable polymorph in this dataset (eV/atom) = 0.0000
- formation energy (no corrections) (eV per atom) = -0.19


Entry 8:
Here is a relaxed Tb2TmAlN crystal from Alexandria via LeMat-Bulk. Energies are from PBE.

abc: 4.8062 4.8062 4.6888
angles: 90.00 90.00 90.00
Space group P4/mmm (No. 123)
Inequivalent atoms, fractional coordinates:
Tb: 0.0000 0.5000 0.0000 x2
Tm: 0.0000 0.0000 0.5000 x1
Al: 0.5000 0.5000 0.5000 x1
N: 0.0000 0.0000 0.0000 x1

- formation energy (no corrections) (eV per atom) = -0.92


Number 1: raw total energy -68.901 eV for the cell shown. Number 2: raw total energy -48.163 eV for the cell shown. Number 3: raw total energy -78.269 eV for the cell shown. Number 4: raw total energy -40.134 eV for the cell shown. Number 5: raw total energy -24.752 eV for the cell shown. Number 6: raw total energy -87.409 eV for the cell shown. Number 7: raw total energy -14.459 eV for the cell shown. Number 8: raw total energy -30.389 eV for the cell shown.